# DyMg3Pd

A geometry-optimized DyMg3Pd structure (PBE, Alexandria via LeMat-Bulk).

Lattice parameters (Å, degrees): 5.4501 5.4501 9.9336 105.92 105.92 90.00
Element x y z (fractional)
Dy 0.5419 0.0419 0.0839
Dy 0.9581 0.4581 0.9161
Mg 0.6191 0.8707 0.7414
Mg 0.1293 0.8777 0.2586
Mg 0.1293 0.3809 0.2586
Mg 0.1223 0.8707 0.7414
Mg 0.2901 0.2901 0.5803
Mg 0.7099 0.7099 0.4197
Pd 0.0000 0.0000 0.0000
Pd 0.2500 0.7500 0.5000

**Size of the total moment**: 0.00 μB/cell
**ΔE to the lowest computed polymorph**: 269.9 meV per atom
**Space-group type**: I-4m2 (119)
**Calculated formation energy**: -0.13 eV/atom
**DOS(E_F)**: 5.5 states/eV/cell
**Crystal system**: tetragonal

# Ce3SnSb2

A geometry-optimized Ce3SnSb2 structure (PBE, Alexandria via LeMat-Bulk).

Lattice parameters (Å, degrees): 7.7872 7.7884 7.7884 119.97 99.60 99.60
Element x y z (fractional)
Ce 0.0006 0.1659 0.3331
Ce 0.5006 0.3331 0.1659
Ce 0.0000 0.5000 0.0000
Ce 0.9994 0.8341 0.6669
Ce 0.5000 0.0000 0.5000
Ce 0.4994 0.6669 0.8341
Sn 0.2500 0.5841 0.4159
Sn 0.7500 0.4159 0.5841
Sb 0.2500 0.9167 0.0833
Sb 0.2500 0.2494 0.7506
Sb 0.7500 0.0833 0.9167
Sb 0.7500 0.7506 0.2494

**Size of the total moment**: 3.73 μB/cell
**Space-group type**: C2/c (15)
**Electronic total energy**: -70.33 eV/cell
**DOS(E_F)**: 31.3 states/eV/cell
**Crystal system**: monoclinic

# TcNiAu2

A geometry-optimized TcNiAu2 structure (PBE, Alexandria via LeMat-Bulk).

Lattice parameters (Å, degrees): 7.2129 7.2129 5.7490 51.15 51.15 90.00
Element x y z (fractional)
Ni 0.5000 0.5000 0.0000
Ni 0.2500 0.7500 0.5000
Au 0.6033 0.1250 0.2500
Au 0.1467 0.6250 0.2500
Au 0.3750 0.3967 0.7500
Au 0.8750 0.8533 0.7500
Tc 0.0000 0.0000 0.0000
Tc 0.7500 0.2500 0.5000

**Size of the total moment**: 6.57 μB/cell
**ΔE to the lowest computed polymorph**: 606.2 meV per atom
**Space-group type**: I-42d (122)
**Calculated formation energy**: 0.73 eV/atom
**DOS(E_F)**: 8.1 states/eV/cell
**Crystal system**: tetragonal

These records have volume values of 272 386 138 Å³/cell, in the order they appear.